Computed, not measured: Na2YFeO4 after structural relaxation at the GGA+U level of DFT.

For the volume, the calculation gives 399.0 Å³/cell. The calculated density is 4.24 g cm⁻³. The calculation puts the total energy at -6.45 eV/atom.

The space group is Imma (No. 74) and the conventional cell measures 6.400, 6.748 and 9.237 Å, with angles of 90.00, 90.00 and 90.00 degrees. The asymmetric unit holds Na at (0.000, 0.000, 0.000), Na at (0.250, 0.250, 0.250), Y at (0.000, 0.000, 0.500), Fe at (0.250, 0.250, 0.750), O at (0.000, 0.040, 0.745) and O at (0.235, 0.250, 0.520).